Compound: LiMnNbO4
Source: the Alexandria database
Functional: GGA+U
Structure: relaxed

Cell: 6.2162 6.2168 9.0948 Å, 90.00 90.00 90.00°
Last column: nearest neighbours and their distance in Å.
Space group Imma (No. 74)
Inequivalent atoms, fractional coordinates:
1 Li 0.0000 0.2500 0.1021 [4 per cell]  4 O 2.04-2.20
2 Mn 0.0000 0.0000 0.5000 [4 per cell]  6 O 2.16-2.30
3 Nb 0.2500 0.2500 0.7500 [4 per cell]  6 O 1.99-2.06
4 O 0.0000 0.0320 0.7524 [8 per cell]  2 Nb 2.06, 1 Li 2.20, 1 Mn 2.30
5 O 0.2363 0.2500 0.5318 [8 per cell]  1 Nb 1.99, 1 Li 2.04, 2 Mn 2.16

Its total energy is -7.7961 eV per atom. The energy above the most stable polymorph in this dataset is 8.0 kJ per mole of atoms. Its total magnetic moment is 0.714 μB per atom.